# 1
# KCu2S2

A relaxed KCu2S2 crystal (PBE, the Alexandria database).

Cell lengths 3.861, 3.861, 7.112 Å; angles 105.75, 105.75, 90.00 degrees
Positions (direct):
K (0.000, 0.000, 0.000)
S (0.647, 0.647, 0.295)
S (0.353, 0.353, 0.705)
Cu (0.250, 0.750, 0.500)
Cu (0.750, 0.250, 0.500)

Uncorrected formation energy, eV/f.u.: -2.84
Magnetic moment, μB per atom: 0.00
Symmetry: No. 139
Density, g cm⁻³: 3.9

=====

# 2
# ReSn2WI

A relaxed ReSn2WI crystal (PBE, the Alexandria database).

Cell lengths 5.699, 4.828, 5.699 Å; angles 90.00, 90.00, 90.00 degrees
Positions (direct):
I (0.000, 0.000, 0.000)
Re (0.000, 0.500, 0.000)
Sn (0.000, 0.000, 0.500)
Sn (0.500, 0.000, 0.000)
W (0.500, 0.500, 0.500)

Uncorrected formation energy, eV/f.u.: 13.47
Magnetic moment, μB per atom: 0.75
Symmetry: No. 123
Density, g cm⁻³: 7.8

=====

# 3
# HPbBrO

A relaxed HPbBrO crystal (PBE, the Alexandria database).

Cell lengths 4.152, 7.493, 10.281 Å; angles 90.00, 90.00, 90.00 degrees
Positions (direct):
H (0.250, 0.797, 0.112)
H (0.250, 0.297, 0.388)
H (0.750, 0.203, 0.888)
H (0.750, 0.703, 0.612)
Pb (0.250, 0.695, 0.416)
Pb (0.250, 0.195, 0.084)
Pb (0.750, 0.305, 0.584)
Pb (0.750, 0.805, 0.916)
Br (0.750, 0.562, 0.180)
Br (0.750, 0.062, 0.320)
Br (0.250, 0.438, 0.820)
Br (0.250, 0.938, 0.680)
O (0.250, 0.878, 0.037)
O (0.250, 0.378, 0.463)
O (0.750, 0.122, 0.963)
O (0.750, 0.622, 0.537)

Magnetic moment, μB per atom: 0.00
Symmetry: No. 62
Density, g cm⁻³: 6.3
DFT total energy, eV/atom: -4.49

=====

# 4
# PmEr3Se4

A relaxed PmEr3Se4 crystal (PBE, the Alexandria database).

Cell lengths 4.015, 7.100, 7.100 Å; angles 108.68, 90.00, 90.00 degrees
Positions (direct):
Er (0.000, 0.000, 0.500)
Er (0.500, 0.500, 0.500)
Er (0.000, 0.500, 0.000)
Se (0.000, 0.260, 0.260)
Se (0.500, 0.745, 0.255)
Se (0.000, 0.740, 0.740)
Se (0.500, 0.255, 0.745)
Pm (0.500, 0.000, 0.000)

Uncorrected formation energy, eV/f.u.: -13.80
Magnetic moment, μB per atom: 0.00
Symmetry: No. 65
Density, g cm⁻³: 8.3
Energy above the lowest structure with this stoichiometry, eV per atom: 0.000

=====

# 5
# Na6Pb12Au

A relaxed Na6Pb12Au crystal (PBE, the Alexandria database).

Cell lengths 8.833, 8.833, 8.833 Å; angles 106.51, 106.51, 106.51 degrees
Positions (direct):
Na (0.082, 0.199, 0.463)
Na (0.801, 0.537, 0.918)
Na (0.537, 0.918, 0.801)
Na (0.918, 0.801, 0.537)
Na (0.199, 0.463, 0.082)
Na (0.463, 0.082, 0.199)
Pb (0.471, 0.186, 0.595)
Pb (0.186, 0.595, 0.471)
Pb (0.595, 0.471, 0.186)
Pb (0.529, 0.814, 0.405)
Pb (0.814, 0.405, 0.529)
Pb (0.405, 0.529, 0.814)
Pb (0.266, 0.136, 0.851)
Pb (0.149, 0.734, 0.864)
Pb (0.864, 0.149, 0.734)
Pb (0.734, 0.864, 0.149)
Pb (0.851, 0.266, 0.136)
Pb (0.136, 0.851, 0.266)
Au (0.000, 0.000, 0.000)

Magnetic moment, μB per atom: 0.00
Symmetry: No. 148
Density, g cm⁻³: 8.1
DFT total energy, eV/atom: -3.00

=====

# 6
# RbSr2Se2O6

A relaxed RbSr2Se2O6 crystal (PBE, the Alexandria database).

Cell lengths 6.217, 6.143, 6.793 Å; angles 88.94, 86.46, 60.37 degrees
Positions (direct):
Rb (0.500, 0.000, 0.500)
Sr (0.825, 0.340, 0.881)
Sr (0.175, 0.660, 0.119)
Se (0.178, 0.650, 0.654)
Se (0.822, 0.350, 0.346)
O (0.414, 0.667, 0.789)
O (0.818, 0.588, 0.196)
O (0.926, 0.919, 0.758)
O (0.182, 0.412, 0.804)
O (0.074, 0.081, 0.242)
O (0.586, 0.333, 0.211)

Uncorrected formation energy, eV/f.u.: -17.99
Magnetic moment, μB per atom: 0.09
Symmetry: No. 2
Density, g cm⁻³: 3.8